Entry 1:
A relaxed Cs2ZnGe3S8 crystal. Source: the Open Quantum Materials Database, functional PBE.

a b c (Å): 7.3106 17.0794 14.7281
angles (deg): 90.00 116.02 90.00
Sites, in units of the cell vectors:
1 Cs 0.1329 0.0613 0.3893
2 Cs 0.1329 0.4387 0.8893
3 Cs 0.2206 0.6509 0.4546
4 Cs 0.2206 0.8491 0.9546
5 Cs 0.7794 0.1509 0.0454
6 Cs 0.7794 0.3491 0.5454
7 Cs 0.8671 0.5613 0.1107
8 Cs 0.8671 0.9387 0.6107
9 Zn 0.2406 0.1464 0.7430
10 Zn 0.2406 0.3536 0.2430
11 Zn 0.7594 0.6464 0.7570
12 Zn 0.7594 0.8536 0.2570
13 Ge 0.2767 0.6491 0.7772
14 Ge 0.2767 0.8509 0.2772
15 Ge 0.4628 0.0204 0.2021
16 Ge 0.4628 0.4796 0.7021
17 Ge 0.4766 0.6847 0.2061
18 Ge 0.4766 0.8153 0.7061
19 Ge 0.5234 0.1847 0.2939
20 Ge 0.5234 0.3153 0.7939
21 Ge 0.5372 0.5204 0.2979
22 Ge 0.5372 0.9796 0.7979
23 Ge 0.7233 0.1491 0.7228
24 Ge 0.7233 0.3509 0.2228
25 S 0.1095 0.6475 0.8701
26 S 0.1095 0.8525 0.3701
27 S 0.1696 0.5441 0.6673
28 S 0.1696 0.9559 0.1673
29 S 0.1764 0.7418 0.1750
30 S 0.1764 0.7582 0.6750
31 S 0.3317 0.0344 0.8494
32 S 0.3317 0.4656 0.3494
33 S 0.3411 0.2457 0.3546
34 S 0.3411 0.2543 0.8546
35 S 0.3617 0.1408 0.1315
36 S 0.3617 0.3592 0.6315
37 S 0.3883 0.5632 0.1346
38 S 0.3883 0.9368 0.6346
39 S 0.3928 0.1490 0.6312
40 S 0.3928 0.3510 0.1312
41 S 0.6072 0.6490 0.8688
42 S 0.6072 0.8510 0.3688
43 S 0.6117 0.0632 0.3654
44 S 0.6117 0.4368 0.8654
45 S 0.6383 0.6408 0.3685
46 S 0.6383 0.8592 0.8685
47 S 0.6589 0.7457 0.1454
48 S 0.6589 0.7543 0.6454
49 S 0.6683 0.5344 0.6506
50 S 0.6683 0.9656 0.1506
51 S 0.8236 0.2418 0.3250
52 S 0.8236 0.2582 0.8250
53 S 0.8304 0.0441 0.8327
54 S 0.8304 0.4559 0.3327
55 S 0.8905 0.1475 0.6299
56 S 0.8905 0.3525 0.1299

Results
E   -4.291 eV/atom


Entry 2:
A relaxed CsTaGeSe5 crystal. Source: the Open Quantum Materials Database, functional PBE.

a b c (Å): 7.3751 7.7542 9.9542
angles (deg): 68.10 77.35 74.77
Sites, in units of the cell vectors:
1 Cs 0.1052 0.3534 0.3130
2 Cs 0.8948 0.6466 0.6870
3 Ta 0.2605 0.9728 0.9970
4 Ta 0.7395 0.0272 0.0030
5 Ge 0.4769 0.7023 0.3745
6 Ge 0.5231 0.2977 0.6255
7 Se 0.0646 0.7759 0.9666
8 Se 0.1826 0.8675 0.2869
9 Se 0.2844 0.1133 0.7109
10 Se 0.4199 0.6147 0.6405
11 Se 0.4267 0.2480 0.9844
12 Se 0.5733 0.7520 0.0156
13 Se 0.5801 0.3853 0.3595
14 Se 0.7156 0.8867 0.2891
15 Se 0.8174 0.1325 0.7131
16 Se 0.9354 0.2241 0.0334

Results
Total magnetic moment   0.000 μB per atom
E   -5.079 eV/atom


Entry 3:
A relaxed CsTbGeSe3 crystal. Source: the Open Quantum Materials Database, functional PBE.

a b c (Å): 8.2701 8.2701 11.6922
angles (deg): 90.00 90.00 149.87
Sites, in units of the cell vectors:
1 Cs 0.2338 0.7662 0.7500
2 Cs 0.7662 0.2338 0.2500
3 Tb 0.5000 0.5000 0.0000
4 Tb 0.5000 0.5000 0.5000
5 Ge 0.0586 0.9414 0.2500
6 Ge 0.9414 0.0586 0.7500
7 Se 0.1200 0.8800 0.0334
8 Se 0.1200 0.8800 0.4666
9 Se 0.4606 0.5394 0.2500
10 Se 0.5394 0.4606 0.7500
11 Se 0.8800 0.1200 0.5334
12 Se 0.8800 0.1200 0.9666

Results
Total magnetic moment   0.001 μB per atom
E   -4.575 eV/atom


Entry 4:
A relaxed Cs4TcGeSe6 crystal. Source: the Open Quantum Materials Database, functional PBE.

a b c (Å): 7.4645 8.1358 9.7726
angles (deg): 71.44 68.06 63.37
Sites, in units of the cell vectors:
1 Cs 0.0000 0.0000 0.0000
2 Cs 0.1730 0.3773 0.2709
3 Cs 0.3953 0.7543 0.4645
4 Cs 0.7580 0.6478 0.8217
5 Tc 0.7057 0.1362 0.4530
6 Ge 0.4590 0.2478 0.8282
7 Se 0.2754 0.5602 0.8703
8 Se 0.3718 0.1812 0.6285
9 Se 0.4704 0.0146 0.0458
10 Se 0.6934 0.3669 0.2381
11 Se 0.8070 0.1969 0.6305
12 Se 0.8867 0.8292 0.4100

Results
Total magnetic moment   0.083 μB per atom
E   -4.131 eV/atom


Entry 5:
A relaxed Cs2ZnGe3Se8 crystal. Source: the Open Quantum Materials Database, functional PBE.

a b c (Å): 7.6984 13.3746 17.9341
angles (deg): 90.00 90.00 90.00
Sites, in units of the cell vectors:
1 Cs 0.2450 0.1966 0.3480
2 Cs 0.2476 0.1271 0.9463
3 Cs 0.2524 0.8729 0.4463
4 Cs 0.2550 0.8034 0.8480
5 Cs 0.7450 0.3034 0.6520
6 Cs 0.7476 0.3729 0.0537
7 Cs 0.7524 0.6271 0.5537
8 Cs 0.7550 0.6966 0.1520
9 Zn 0.0114 0.9964 0.6513
10 Zn 0.4886 0.0036 0.1513
11 Zn 0.5114 0.5036 0.3487
12 Zn 0.9886 0.4964 0.8487
13 Ge 0.0115 0.5211 0.3480
14 Ge 0.2345 0.5491 0.6791
15 Ge 0.2361 0.5559 0.0179
16 Ge 0.2639 0.4441 0.5179
17 Ge 0.2655 0.4509 0.1791
18 Ge 0.4885 0.4789 0.8480
19 Ge 0.5115 0.9789 0.6520
20 Ge 0.7345 0.9509 0.3209
21 Ge 0.7361 0.9441 0.9821
22 Ge 0.7639 0.0559 0.4821
23 Ge 0.7655 0.0491 0.8209
24 Ge 0.9885 0.0211 0.1520
25 Se 0.0015 0.9038 0.0467
26 Se 0.0030 0.9087 0.2599
27 Se 0.0155 0.1089 0.7626
28 Se 0.0200 0.1093 0.5392
29 Se 0.2352 0.3744 0.6420
30 Se 0.2380 0.1232 0.1504
31 Se 0.2381 0.3783 0.8460
32 Se 0.2405 0.3806 0.0543
33 Se 0.2595 0.6194 0.5543
34 Se 0.2619 0.6217 0.3460
35 Se 0.2620 0.8768 0.6504
36 Se 0.2648 0.6256 0.1420
37 Se 0.4800 0.8907 0.0392
38 Se 0.4845 0.8911 0.2626
39 Se 0.4970 0.0913 0.7599
40 Se 0.4985 0.0962 0.5467
41 Se 0.5015 0.5962 0.9533
42 Se 0.5030 0.5913 0.7401
43 Se 0.5155 0.3911 0.2374
44 Se 0.5200 0.3907 0.4608
45 Se 0.7352 0.1256 0.3580
46 Se 0.7381 0.1217 0.1540
47 Se 0.7380 0.3768 0.8496
48 Se 0.7405 0.1194 0.9457
49 Se 0.7595 0.8806 0.4457
50 Se 0.7620 0.6232 0.3496
51 Se 0.7619 0.8783 0.6540
52 Se 0.7648 0.8744 0.8580
53 Se 0.9800 0.6093 0.9608
54 Se 0.9845 0.6089 0.7374
55 Se 0.9970 0.4087 0.2401
56 Se 0.9985 0.4038 0.4533

Results
E   -3.855 eV/atom


Entry 6:
A relaxed CsSmGe crystal. Source: the Open Quantum Materials Database, functional PBE.

a b c (Å): 5.4460 5.4460 5.4460
angles (deg): 60.00 60.00 60.00
Sites, in units of the cell vectors:
1 Cs 0.0000 0.0000 0.0000
2 Sm 0.5000 0.5000 0.5000
3 Ge 0.2500 0.2500 0.2500

Results
Total magnetic moment   0.000 μB per atom
E above lowest polymorph   0 meV per atom


Entry 7:
A relaxed CsTaGe crystal. Source: the Open Quantum Materials Database, functional PBE.

a b c (Å): 5.1311 5.1311 5.1311
angles (deg): 60.00 60.00 60.00
Sites, in units of the cell vectors:
1 Cs 0.0000 0.0000 0.0000
2 Ta 0.2500 0.2500 0.2500
3 Ge 0.7500 0.7500 0.7500

Results
Total magnetic moment   0.671 μB per atom
E above lowest polymorph   978 meV per atom


Entry 8:
A relaxed CsTaGe crystal. Source: the Open Quantum Materials Database, functional PBE.

a b c (Å): 4.8946 4.8946 4.8946
angles (deg): 60.00 60.00 60.00
Sites, in units of the cell vectors:
1 Cs 0.0000 0.0000 0.0000
2 Ta 0.2500 0.2500 0.2500
3 Ge 0.5000 0.5000 0.5000

Results
Total magnetic moment   0.626 μB per atom
E above lowest polymorph   0 meV per atom


Entry 9:
A relaxed CsTaGe crystal. Source: the Open Quantum Materials Database, functional PBE.

a b c (Å): 5.0534 5.0534 5.0534
angles (deg): 60.00 60.00 60.00
Sites, in units of the cell vectors:
1 Cs 0.0000 0.0000 0.0000
2 Ta 0.5000 0.5000 0.5000
3 Ge 0.2500 0.2500 0.2500

Results
Total magnetic moment   0.667 μB per atom
E above lowest polymorph   172 meV per atom


Entry 10:
A relaxed CsTbGe crystal. Source: the Open Quantum Materials Database, functional PBE.

a b c (Å): 5.4222 5.4222 5.4222
angles (deg): 60.00 60.00 60.00
Sites, in units of the cell vectors:
1 Cs 0.0000 0.0000 0.0000
2 Tb 0.5000 0.5000 0.5000
3 Ge 0.2500 0.2500 0.2500

Results
Total magnetic moment   0.000 μB per atom
E   -3.070 eV/atom


Entry 11:
A relaxed CsTbGeTe3 crystal. Source: the Open Quantum Materials Database, functional PBE.

a b c (Å): 8.7109 8.7109 12.2400
angles (deg): 90.00 90.00 149.19
Sites, in units of the cell vectors:
1 Cs 0.2455 0.7545 0.7500
2 Cs 0.7545 0.2455 0.2500
3 Tb 0.5000 0.5000 0.0000
4 Tb 0.5000 0.5000 0.5000
5 Ge 0.0463 0.9537 0.2500
6 Ge 0.9537 0.0463 0.7500
7 Te 0.1238 0.8762 0.0390
8 Te 0.1238 0.8762 0.4610
9 Te 0.4468 0.5532 0.2500
10 Te 0.5532 0.4468 0.7500
11 Te 0.8762 0.1238 0.5390
12 Te 0.8762 0.1238 0.9610

Results
Total magnetic moment   0.000 μB per atom
E   -4.143 eV/atom


Entry 12:
A relaxed Cs2ZnGe3Te8 crystal. Source: the Open Quantum Materials Database, functional PBE.

a b c (Å): 8.2897 13.7571 19.0544
angles (deg): 90.00 90.00 90.00
Sites, in units of the cell vectors:
1 Cs 0.2474 0.1146 0.4496
2 Cs 0.2473 0.8081 0.3486
3 Cs 0.2527 0.1919 0.8486
4 Cs 0.2526 0.8854 0.9496
5 Cs 0.7474 0.3854 0.5504
6 Cs 0.7473 0.6919 0.6514
7 Cs 0.7527 0.3081 0.1514
8 Cs 0.7526 0.6146 0.0504
9 Zn 0.0128 0.0017 0.1534
10 Zn 0.4872 0.9983 0.6534
11 Zn 0.5128 0.4983 0.8466
12 Zn 0.9872 0.5017 0.3466
13 Ge 0.0029 0.5133 0.8474
14 Ge 0.2350 0.5663 0.5200
15 Ge 0.2395 0.5580 0.1759
16 Ge 0.2605 0.4420 0.6759
17 Ge 0.2650 0.4337 0.0200
18 Ge 0.4971 0.4867 0.3474
19 Ge 0.5029 0.9867 0.1526
20 Ge 0.7350 0.9337 0.4800
21 Ge 0.7395 0.9420 0.8241
22 Ge 0.7605 0.0580 0.3241
23 Ge 0.7650 0.0663 0.9800
24 Ge 0.9971 0.0133 0.6526
25 Te 0.0072 0.8879 0.5457
26 Te 0.0112 0.8920 0.7617
27 Te 0.0217 0.1199 0.2661
28 Te 0.0288 0.1205 0.0410
29 Te 0.2389 0.3760 0.5449
30 Te 0.2387 0.3789 0.3420
31 Te 0.2445 0.1296 0.6521
32 Te 0.2442 0.3685 0.1515
33 Te 0.2558 0.6315 0.6515
34 Te 0.2555 0.8704 0.1521
35 Te 0.2613 0.6211 0.8420
36 Te 0.2611 0.6240 0.0449
37 Te 0.4712 0.8795 0.5410
38 Te 0.4783 0.8801 0.7661
39 Te 0.4888 0.1080 0.2617
40 Te 0.4928 0.1121 0.0457
41 Te 0.5072 0.6121 0.4543
42 Te 0.5112 0.6080 0.2383
43 Te 0.5217 0.3801 0.7339
44 Te 0.5288 0.3795 0.9590
45 Te 0.7387 0.1211 0.6580
46 Te 0.7389 0.1240 0.4551
47 Te 0.7442 0.1315 0.8485
48 Te 0.7445 0.3704 0.3479
49 Te 0.7555 0.6296 0.8479
50 Te 0.7558 0.8685 0.3485
51 Te 0.7611 0.8760 0.9551
52 Te 0.7613 0.8789 0.1580
53 Te 0.9712 0.6205 0.4590
54 Te 0.9783 0.6199 0.2339
55 Te 0.9888 0.3920 0.7383
56 Te 0.9928 0.3879 0.9543

Results
E   -3.412 eV/atom


no.,calculated volume (A^3/atom),density (g cm⁻³)
1,29.510,3.2
2,31.559,5.1
3,33.454,5.0
4,40.327,4.0
5,32.974,4.2
6,38.071,5.2
7,31.842,6.7
8,27.639,7.7
9,30.417,7.0
10,37.574,5.4
11,39.646,5.2
12,38.804,4.8